[1]
The following is a PBE calculation of a relaxed structure of AcMgAlCu, from Alexandria via LeMat-Bulk.

```
data_AcMgAlCu
_cell_length_a 7.253
_cell_length_b 7.253
_cell_length_c 7.253
_cell_angle_alpha 90.00
_cell_angle_beta 90.00
_cell_angle_gamma 90.00
_space_group_name_H-M_alt 'P 1'
_space_group_IT_number 1
loop_
_space_group_symop_operation_xyz
'x,y,z'
loop_
_atom_site_label
_atom_site_fract_x
_atom_site_fract_y
_atom_site_fract_z
Ac1 0.000 0.000 0.000
Ac2 0.000 0.500 0.500
Ac3 0.500 0.000 0.500
Ac4 0.500 0.500 0.000
Mg1 0.000 0.000 0.500
Mg2 0.000 0.500 0.000
Mg3 0.500 0.000 0.000
Mg4 0.500 0.500 0.500
Al1 0.250 0.250 0.250
Al2 0.250 0.750 0.750
Al3 0.750 0.250 0.750
Al4 0.750 0.750 0.250
Cu1 0.250 0.250 0.750
Cu2 0.250 0.750 0.250
Cu3 0.750 0.250 0.250
Cu4 0.750 0.750 0.750
```

Computed properties:
- M_tot: 0.000 Bohr magnetons per cell
- N(E_F): 0.44 states/eV/atom
- Calculated formation energy: -0.097 eV per atom
- E_tot: -3.48 eV/atom

---

[2]
The following is a PBE calculation of a relaxed structure of TlCo2Ni, from Alexandria via LeMat-Bulk.

```
data_TlCo2Ni
_cell_length_a 6.039
_cell_length_b 6.039
_cell_length_c 6.039
_cell_angle_alpha 90.00
_cell_angle_beta 90.00
_cell_angle_gamma 90.00
_space_group_name_H-M_alt 'P 1'
_space_group_IT_number 1
loop_
_space_group_symop_operation_xyz
'x,y,z'
loop_
_atom_site_label
_atom_site_fract_x
_atom_site_fract_y
_atom_site_fract_z
Tl1 0.000 0.000 0.000
Tl2 0.000 0.500 0.500
Tl3 0.500 0.000 0.500
Tl4 0.500 0.500 0.000
Co1 0.000 0.000 0.500
Co2 0.000 0.500 0.000
Co3 0.250 0.250 0.750
Co4 0.250 0.750 0.250
Co5 0.500 0.000 0.000
Co6 0.500 0.500 0.500
Co7 0.750 0.250 0.250
Co8 0.750 0.750 0.750
Ni1 0.250 0.250 0.250
Ni2 0.250 0.750 0.750
Ni3 0.750 0.250 0.750
Ni4 0.750 0.750 0.250
```

Computed properties:
- M_tot: 11.934 Bohr magnetons per cell
- N(E_F): 1.99 states/eV/atom
- Calculated formation energy: 0.438 eV per atom
- E_tot: -5.15 eV/atom

---

[3]
The following is a PBE calculation of a relaxed structure of PmSm2YTm2, from Alexandria via LeMat-Bulk.

```
data_PmSm2YTm2
_cell_length_a 7.021
_cell_length_b 9.783
_cell_length_c 5.639
_cell_angle_alpha 90.00
_cell_angle_beta 90.00
_cell_angle_gamma 90.00
_space_group_name_H-M_alt 'P 1'
_space_group_IT_number 1
loop_
_space_group_symop_operation_xyz
'x,y,z'
loop_
_atom_site_label
_atom_site_fract_x
_atom_site_fract_y
_atom_site_fract_z
Pm1 0.000 0.000 0.000
Pm2 0.500 0.500 0.500
Sm1 0.248 0.333 0.000
Sm2 0.252 0.833 0.500
Sm3 0.748 0.167 0.500
Sm4 0.752 0.667 0.000
Y1 0.000 0.500 0.500
Y2 0.500 0.000 0.000
Tm1 0.250 0.166 0.500
Tm2 0.250 0.666 0.000
Tm3 0.750 0.334 0.000
Tm4 0.750 0.834 0.500
```

Computed properties:
- M_tot: 0.000 Bohr magnetons per cell
- N(E_F): 1.69 states/eV/atom
- Calculated formation energy: 0.066 eV per atom
- E_tot: -4.87 eV/atom

---

no.,volume (Å³/atom)
1,23.85
2,13.77
3,32.28